Compound: NbI3Br3
Source: Alexandria via LeMat-Bulk
Functional: PBE
Structure: optimized geometry

```
NbI3Br3
1.0
6.173 3.564 2.293
-6.173 3.564 2.293
0.000 -7.128 2.293
Nb I Br
1 3 3
Cartesian
0.000 0.000 0.000
0.000 -2.118 1.888
-1.834 1.059 1.888
1.834 1.059 1.888
0.000 -2.038 5.432
-1.765 1.019 5.432
1.765 1.019 5.432
```

Calculated values
The calculation puts the uncorrected formation energy at -0.427 eV/atom.